Entry from the Alexandria database: a relaxed CaRu2Rh2 crystal (GGA-PBE).

Computed properties:
Formation energy = 10.1 kJ per mole of atoms
Space-group type = No. 139

a b c (Å): 4.092 4.092 10.768
angles (deg): 90.00 90.00 90.00
Positions (direct):
Ca (0.000, 0.000, 0.000)
Ca (0.500, 0.500, 0.500)
Ru (0.000, 0.000, 0.395)
Ru (0.000, 0.000, 0.605)
Ru (0.500, 0.500, 0.105)
Ru (0.500, 0.500, 0.895)
Rh (0.000, 0.500, 0.250)
Rh (0.000, 0.500, 0.750)
Rh (0.500, 0.000, 0.250)
Rh (0.500, 0.000, 0.750)

Entry from the Alexandria database: a relaxed CaRuRh2 crystal (GGA-PBE).

Computed properties:
Formation energy = 16.3 kJ per mole of atoms
Space-group type = No. 99

a b c (Å): 2.871 2.871 8.089
angles (deg): 90.00 90.00 90.00
Positions (direct):
Ca (0.000, 0.000, 0.000)
Ru (0.500, 0.500, 0.708)
Rh (0.000, 0.000, 0.502)
Rh (0.500, 0.500, 0.277)

Entry from the Alexandria database: a relaxed CaRu2Rh crystal (GGA-PBE).

Computed properties:
Formation energy = 34.7 kJ per mole of atoms
Space-group type = No. 10

a b c (Å): 2.843 4.758 4.948
angles (deg): 90.00 98.08 90.00
Positions (direct):
Ca (0.000, 0.000, 0.000)
Ru (0.314, 0.500, 0.728)
Ru (0.686, 0.500, 0.272)
Rh (0.500, 0.000, 0.500)

Entry from the Alexandria database: a relaxed CaRu2Rh crystal (GGA-PBE).

Computed properties:
Formation energy = 35.2 kJ per mole of atoms
Space-group type = No. 65

a b c (Å): 5.543 8.440 2.732
angles (deg): 90.00 90.00 90.00
Positions (direct):
Ca (0.000, 0.000, 0.000)
Ca (0.500, 0.500, 0.000)
Ru (0.250, 0.250, 0.500)
Ru (0.250, 0.750, 0.500)
Ru (0.750, 0.250, 0.500)
Ru (0.750, 0.750, 0.500)
Rh (0.000, 0.500, 0.000)
Rh (0.500, 0.000, 0.000)

Entry from the Alexandria database: a relaxed CaRu2Rh crystal (GGA-PBE).

Computed properties:
Formation energy = 21.0 kJ per mole of atoms
Space-group type = No. 38

a b c (Å): 4.351 2.818 10.880
angles (deg): 90.00 90.00 90.00
Positions (direct):
Ca (0.000, 0.000, 0.000)
Ca (0.000, 0.500, 0.500)
Ru (0.000, 0.000, 0.749)
Ru (0.000, 0.500, 0.249)
Ru (0.500, 0.000, 0.327)
Ru (0.500, 0.500, 0.827)
Rh (0.500, 0.000, 0.618)
Rh (0.500, 0.500, 0.118)

Entry from the Alexandria database: a relaxed CaRu2Rh crystal (GGA-PBE).

Computed properties:
Formation energy = 41.5 kJ per mole of atoms
Space-group type = No. 160

a b c (Å): 2.868 2.868 27.451
angles (deg): 90.00 90.00 120.00
Positions (direct):
Ca (0.000, 0.000, 0.000)
Ca (0.333, 0.667, 0.667)
Ca (0.667, 0.333, 0.333)
Ru (0.000, 0.000, 0.241)
Ru (0.000, 0.000, 0.501)
Ru (0.333, 0.667, 0.167)
Ru (0.333, 0.667, 0.907)
Ru (0.667, 0.333, 0.574)
Ru (0.667, 0.333, 0.834)
Rh (0.000, 0.000, 0.754)
Rh (0.333, 0.667, 0.421)
Rh (0.667, 0.333, 0.087)

Entry from the Alexandria database: a relaxed Ca2RuRh crystal (GGA-PBE).

Computed properties:
Formation energy = 26.2 kJ per mole of atoms
Space-group type = No. 12

a b c (Å): 9.023 3.130 5.699
angles (deg): 90.00 100.01 90.00
Positions (direct):
Ca (0.249, 0.000, 0.250)
Ca (0.251, 0.500, 0.750)
Ca (0.749, 0.500, 0.250)
Ca (0.751, 0.000, 0.750)
Ru (0.000, 0.000, 0.500)
Ru (0.500, 0.500, 0.500)
Rh (0.000, 0.500, 0.000)
Rh (0.500, 0.000, 0.000)

Entry from the Alexandria database: a relaxed CaRuRh2 crystal (GGA-PBE).

Computed properties:
Formation energy = 29.8 kJ per mole of atoms
Space-group type = No. 216

a b c (Å): 6.403 6.403 6.403
angles (deg): 90.00 90.00 90.00
Positions (direct):
Ca (0.000, 0.000, 0.000)
Ca (0.000, 0.500, 0.500)
Ca (0.500, 0.000, 0.500)
Ca (0.500, 0.500, 0.000)
Ru (0.250, 0.250, 0.250)
Ru (0.250, 0.750, 0.750)
Ru (0.750, 0.250, 0.750)
Ru (0.750, 0.750, 0.250)
Rh (0.000, 0.000, 0.500)
Rh (0.000, 0.500, 0.000)
Rh (0.250, 0.250, 0.750)
Rh (0.250, 0.750, 0.250)
Rh (0.500, 0.000, 0.000)
Rh (0.500, 0.500, 0.500)
Rh (0.750, 0.250, 0.250)
Rh (0.750, 0.750, 0.750)

Entry from the Alexandria database: a relaxed CaRu2Rh crystal (GGA-PBE).

Computed properties:
Formation energy = 35.8 kJ per mole of atoms
Space-group type = No. 119

a b c (Å): 4.158 4.158 7.520
angles (deg): 90.00 90.00 90.00
Positions (direct):
Ca (0.000, 0.000, 0.000)
Ca (0.500, 0.500, 0.500)
Ru (0.000, 0.000, 0.500)
Ru (0.000, 0.500, 0.250)
Ru (0.500, 0.000, 0.750)
Ru (0.500, 0.500, 0.000)
Rh (0.000, 0.500, 0.750)
Rh (0.500, 0.000, 0.250)

Entry from the Alexandria database: a relaxed Ca2RuRh crystal (GGA-PBE).

Computed properties:
Formation energy = 24.0 kJ per mole of atoms
Space-group type = No. 216

a b c (Å): 6.829 6.829 6.829
angles (deg): 90.00 90.00 90.00
Positions (direct):
Ca (0.000, 0.000, 0.000)
Ca (0.000, 0.500, 0.500)
Ca (0.250, 0.250, 0.250)
Ca (0.250, 0.750, 0.750)
Ca (0.500, 0.000, 0.500)
Ca (0.500, 0.500, 0.000)
Ca (0.750, 0.250, 0.750)
Ca (0.750, 0.750, 0.250)
Ru (0.250, 0.250, 0.750)
Ru (0.250, 0.750, 0.250)
Ru (0.750, 0.250, 0.250)
Ru (0.750, 0.750, 0.750)
Rh (0.000, 0.000, 0.500)
Rh (0.000, 0.500, 0.000)
Rh (0.500, 0.000, 0.000)
Rh (0.500, 0.500, 0.500)

Entry from the Alexandria database: a relaxed Ca2RuRh crystal (GGA-PBE).

Computed properties:
Formation energy = 25.5 kJ per mole of atoms
Space-group type = No. 166

a b c (Å): 3.224 3.224 26.547
angles (deg): 90.00 90.00 120.00
Positions (direct):
Ca (0.000, 0.000, 0.249)
Ca (0.000, 0.000, 0.751)
Ca (0.333, 0.667, 0.417)
Ca (0.333, 0.667, 0.916)
Ca (0.667, 0.333, 0.084)
Ca (0.667, 0.333, 0.583)
Ru (0.000, 0.000, 0.000)
Ru (0.333, 0.667, 0.667)
Ru (0.667, 0.333, 0.333)
Rh (0.000, 0.000, 0.500)
Rh (0.333, 0.667, 0.167)
Rh (0.667, 0.333, 0.833)

Entry from the Alexandria database: a relaxed Ca2RuRh crystal (GGA-PBE).

Computed properties:
Formation energy = 24.5 kJ per mole of atoms
Space-group type = No. 119

a b c (Å): 4.102 4.102 9.530
angles (deg): 90.00 90.00 90.00
Positions (direct):
Ca (0.000, 0.000, 0.000)
Ca (0.000, 0.500, 0.250)
Ca (0.500, 0.000, 0.750)
Ca (0.500, 0.500, 0.500)
Ru (0.000, 0.000, 0.500)
Ru (0.500, 0.500, 0.000)
Rh (0.000, 0.500, 0.750)
Rh (0.500, 0.000, 0.250)

Entry from the Alexandria database: a relaxed CaRu2Rh crystal (GGA-PBE).

Computed properties:
Formation energy = 17.3 kJ per mole of atoms
Space-group type = No. 99

a b c (Å): 2.872 2.872 8.064
angles (deg): 90.00 90.00 90.00
Positions (direct):
Ca (0.000, 0.000, 0.000)
Ru (0.000, 0.000, 0.505)
Ru (0.500, 0.500, 0.707)
Rh (0.500, 0.500, 0.282)

Entry from the Alexandria database: a relaxed CaRu2Rh crystal (GGA-PBE).

Computed properties:
Formation energy = 51.2 kJ per mole of atoms
Space-group type = No. 225

a b c (Å): 6.385 6.385 6.385
angles (deg): 90.00 90.00 90.00
Positions (direct):
Ca (0.000, 0.000, 0.000)
Ca (0.000, 0.500, 0.500)
Ca (0.500, 0.000, 0.500)
Ca (0.500, 0.500, 0.000)
Ru (0.250, 0.250, 0.250)
Ru (0.250, 0.250, 0.750)
Ru (0.250, 0.750, 0.250)
Ru (0.250, 0.750, 0.750)
Ru (0.750, 0.250, 0.250)
Ru (0.750, 0.250, 0.750)
Ru (0.750, 0.750, 0.250)
Ru (0.750, 0.750, 0.750)
Rh (0.000, 0.000, 0.500)
Rh (0.000, 0.500, 0.000)
Rh (0.500, 0.000, 0.000)
Rh (0.500, 0.500, 0.500)

Entry from the Alexandria database: a relaxed CaRu2Rh crystal (GGA-PBE).

Computed properties:
Formation energy = 51.5 kJ per mole of atoms
Space-group type = No. 166

a b c (Å): 2.830 2.830 27.986
angles (deg): 90.00 90.00 120.00
Positions (direct):
Ca (0.000, 0.000, 0.000)
Ca (0.333, 0.667, 0.667)
Ca (0.667, 0.333, 0.333)
Ru (0.000, 0.000, 0.243)
Ru (0.000, 0.000, 0.757)
Ru (0.333, 0.667, 0.423)
Ru (0.333, 0.667, 0.910)
Ru (0.667, 0.333, 0.090)
Ru (0.667, 0.333, 0.577)
Rh (0.000, 0.000, 0.500)
Rh (0.333, 0.667, 0.167)
Rh (0.667, 0.333, 0.833)

Entry from the Alexandria database: a relaxed CaSmRuRh crystal (GGA-PBE).

Computed properties:
Formation energy = -17.8 kJ per mole of atoms
Space-group type = No. 216

a b c (Å): 6.884 6.884 6.884
angles (deg): 90.00 90.00 90.00
Positions (direct):
Ca (0.000, 0.000, 0.000)
Ca (0.000, 0.500, 0.500)
Ca (0.500, 0.000, 0.500)
Ca (0.500, 0.500, 0.000)
Sm (0.000, 0.000, 0.500)
Sm (0.000, 0.500, 0.000)
Sm (0.500, 0.000, 0.000)
Sm (0.500, 0.500, 0.500)
Ru (0.250, 0.250, 0.750)
Ru (0.250, 0.750, 0.250)
Ru (0.750, 0.250, 0.250)
Ru (0.750, 0.750, 0.750)
Rh (0.250, 0.250, 0.250)
Rh (0.250, 0.750, 0.750)
Rh (0.750, 0.250, 0.750)
Rh (0.750, 0.750, 0.250)

Entry from the Alexandria database: a relaxed CaTbRuRh crystal (GGA-PBE).

Computed properties:
Formation energy = -22.9 kJ per mole of atoms
Space-group type = No. 216

a b c (Å): 6.823 6.823 6.823
angles (deg): 90.00 90.00 90.00
Positions (direct):
Ca (0.000, 0.000, 0.000)
Ca (0.000, 0.500, 0.500)
Ca (0.500, 0.000, 0.500)
Ca (0.500, 0.500, 0.000)
Tb (0.000, 0.000, 0.500)
Tb (0.000, 0.500, 0.000)
Tb (0.500, 0.000, 0.000)
Tb (0.500, 0.500, 0.500)
Ru (0.250, 0.250, 0.750)
Ru (0.250, 0.750, 0.250)
Ru (0.750, 0.250, 0.250)
Ru (0.750, 0.750, 0.750)
Rh (0.250, 0.250, 0.250)
Rh (0.250, 0.750, 0.750)
Rh (0.750, 0.250, 0.750)
Rh (0.750, 0.750, 0.250)

Entry from the Alexandria database: a relaxed CaRhS2 crystal (GGA-PBE).

Computed properties:
ΔE_f (raw) = -572 meV/atom
Space-group type = No. 166

a b c (Å): 3.706 3.706 22.988
angles (deg): 90.00 90.00 120.00
Positions (direct):
Ca (0.000, 0.000, 0.000)
Ca (0.333, 0.667, 0.667)
Ca (0.667, 0.333, 0.333)
Rh (0.000, 0.000, 0.500)
Rh (0.333, 0.667, 0.167)
Rh (0.667, 0.333, 0.833)
S (0.000, 0.000, 0.118)
S (0.000, 0.000, 0.882)
S (0.333, 0.667, 0.549)
S (0.333, 0.667, 0.784)
S (0.667, 0.333, 0.216)
S (0.667, 0.333, 0.451)

Entry from the Alexandria database: a relaxed CaRh3S crystal (GGA-PBE).

Computed properties:
ΔE_f (raw) = -385 meV/atom
Space-group type = No. 221

a b c (Å): 4.458 4.458 4.458
angles (deg): 90.00 90.00 90.00
Positions (direct):
Ca (0.000, 0.000, 0.000)
Rh (0.000, 0.500, 0.500)
Rh (0.500, 0.000, 0.500)
Rh (0.500, 0.500, 0.000)
S (0.500, 0.500, 0.500)

Entry from the Alexandria database: a relaxed CaRhS2 crystal (GGA-PBE).

Computed properties:
ΔE_f (raw) = -884 meV/atom
Space-group type = No. 122

a b c (Å): 5.550 5.550 12.347
angles (deg): 90.00 90.00 90.00
Positions (direct):
Ca (0.000, 0.000, 0.000)
Ca (0.000, 0.500, 0.250)
Ca (0.500, 0.000, 0.750)
Ca (0.500, 0.500, 0.500)
Rh (0.000, 0.000, 0.500)
Rh (0.000, 0.500, 0.750)
Rh (0.500, 0.000, 0.250)
Rh (0.500, 0.500, 0.000)
S (0.182, 0.250, 0.625)
S (0.250, 0.682, 0.875)
S (0.250, 0.818, 0.375)
S (0.318, 0.250, 0.125)
S (0.682, 0.750, 0.125)
S (0.750, 0.182, 0.375)
S (0.750, 0.318, 0.875)
S (0.818, 0.750, 0.625)

Entry from the Alexandria database: a relaxed Ca2Rh2S crystal (GGA-PBE).

Computed properties:
ΔE_f (raw) = -138 meV/atom
Space-group type = No. 127

a b c (Å): 7.310 7.310 4.398
angles (deg): 90.00 90.00 90.00
Positions (direct):
Ca (0.172, 0.328, 0.000)
Ca (0.328, 0.828, 0.000)
Ca (0.672, 0.172, 0.000)
Ca (0.828, 0.672, 0.000)
Rh (0.118, 0.618, 0.500)
Rh (0.382, 0.118, 0.500)
Rh (0.618, 0.882, 0.500)
Rh (0.882, 0.382, 0.500)
S (0.000, 0.000, 0.000)
S (0.500, 0.500, 0.000)

Entry from the Alexandria database: a relaxed Ca2Rh2S crystal (GGA-PBE).

Computed properties:
ΔE_f (raw) = -744 meV/atom
Space-group type = No. 139

a b c (Å): 3.602 3.602 16.249
angles (deg): 90.00 90.00 90.00
Positions (direct):
Ca (0.000, 0.000, 0.101)
Ca (0.000, 0.000, 0.899)
Ca (0.500, 0.500, 0.399)
Ca (0.500, 0.500, 0.601)
Rh (0.000, 0.500, 0.250)
Rh (0.000, 0.500, 0.750)
Rh (0.500, 0.000, 0.250)
Rh (0.500, 0.000, 0.750)
S (0.000, 0.000, 0.500)
S (0.500, 0.500, 0.000)

Entry from the Alexandria database: a relaxed CaRhS2 crystal (GGA-PBE).

Computed properties:
ΔE_f (raw) = -594 meV/atom
Space-group type = No. 225

a b c (Å): 6.519 6.519 6.519
angles (deg): 90.00 90.00 90.00
Positions (direct):
Ca (0.000, 0.000, 0.000)
Ca (0.000, 0.500, 0.500)
Ca (0.500, 0.000, 0.500)
Ca (0.500, 0.500, 0.000)
Rh (0.000, 0.000, 0.500)
Rh (0.000, 0.500, 0.000)
Rh (0.500, 0.000, 0.000)
Rh (0.500, 0.500, 0.500)
S (0.250, 0.250, 0.250)
S (0.250, 0.250, 0.750)
S (0.250, 0.750, 0.250)
S (0.250, 0.750, 0.750)
S (0.750, 0.250, 0.250)
S (0.750, 0.250, 0.750)
S (0.750, 0.750, 0.250)
S (0.750, 0.750, 0.750)

Entry from the Alexandria database: a relaxed CaRh3S crystal (GGA-PBE).

Computed properties:
ΔE_f (raw) = 1711 meV/atom
Space-group type = No. 221

a b c (Å): 4.799 4.799 4.799
angles (deg): 90.00 90.00 90.00
Positions (direct):
Ca (0.000, 0.000, 0.000)
Rh (0.000, 0.000, 0.500)
Rh (0.000, 0.500, 0.000)
Rh (0.500, 0.000, 0.000)
S (0.500, 0.500, 0.500)

Entry from the Alexandria database: a relaxed CaScRh2S crystal (GGA-PBE).

Computed properties:
ΔE_f (raw) = -189 meV/atom
Space-group type = No. 123

a b c (Å): 4.698 4.698 5.017
angles (deg): 90.00 90.00 90.00
Positions (direct):
Ca (0.000, 0.000, 0.000)
Sc (0.500, 0.500, 0.500)
Rh (0.000, 0.500, 0.500)
Rh (0.500, 0.000, 0.500)
S (0.500, 0.500, 0.000)

Entry from the Alexandria database: a relaxed CaScRh2S crystal (GGA-PBE).

Computed properties:
ΔE_f (raw) = 445 meV/atom
Space-group type = No. 123

a b c (Å): 4.525 4.525 6.419
angles (deg): 90.00 90.00 90.00
Positions (direct):
Ca (0.000, 0.000, 0.000)
Sc (0.000, 0.000, 0.500)
Rh (0.000, 0.500, 0.500)
Rh (0.500, 0.000, 0.500)
S (0.500, 0.500, 0.000)

Entry from the Alexandria database: a relaxed CaTaRh2S crystal (GGA-PBE).

Computed properties:
ΔE_f (raw) = 2055 meV/atom
Space-group type = No. 123

a b c (Å): 4.607 4.607 5.186
angles (deg): 90.00 90.00 90.00
Positions (direct):
Ca (0.000, 0.000, 0.000)
Ta (0.000, 0.000, 0.500)
Rh (0.000, 0.500, 0.000)
Rh (0.500, 0.000, 0.000)
S (0.500, 0.500, 0.500)

Entry from the Alexandria database: a relaxed Ca2VRhS crystal (GGA-PBE).

Computed properties:
ΔE_f (raw) = 281 meV/atom
Space-group type = No. 123

a b c (Å): 5.631 5.631 4.327
angles (deg): 90.00 90.00 90.00
Positions (direct):
Ca (0.000, 0.500, 0.000)
Ca (0.500, 0.000, 0.000)
V (0.000, 0.000, 0.000)
Rh (0.000, 0.000, 0.500)
S (0.500, 0.500, 0.500)

Entry from the Alexandria database: a relaxed CaSb12Rh4 crystal (GGA-PBE).

Computed properties:
ΔE_f (raw) = -441 meV/atom
Space-group type = No. 204

a b c (Å): 8.177 8.177 8.177
angles (deg): 109.47 109.47 109.47
Positions (direct):
Ca (0.000, 0.000, 0.000)
Sb (0.156, 0.339, 0.494)
Sb (0.156, 0.661, 0.817)
Sb (0.183, 0.844, 0.339)
Sb (0.339, 0.183, 0.844)
Sb (0.339, 0.494, 0.156)
Sb (0.494, 0.156, 0.339)
Sb (0.506, 0.844, 0.661)
Sb (0.661, 0.506, 0.844)
Sb (0.661, 0.817, 0.156)
Sb (0.817, 0.156, 0.661)
Sb (0.844, 0.339, 0.183)
Sb (0.844, 0.661, 0.506)
Rh (0.000, 0.000, 0.500)
Rh (0.000, 0.500, 0.000)
Rh (0.500, 0.000, 0.000)
Rh (0.500, 0.500, 0.500)

Ordered electronic total energy results: -69.5 -25.3 -26.5 -52.9 -54.1 -78.5 -39.1 -99.0 -52.8 -78.5 -58.7 -39.2 -27.2 -103.1 -77.3 -96.3 -96.8 -59.7 -30.1 -84.6 -47.0 -53.1 -79.9 -19.6 -28.1 -24.9 -22.4 -23.2 -88.4; unit eV per cell.
Ordered size of the total moment results: 0.00 0.00 1.24 0.00 0.00 0.22 0.01 0.59 1.40 7.48 0.39 0.00 0.00 0.00 0.11 0.00 0.00 0.00 0.00 0.00 4.00 0.00 4.51 3.16 0.00 0.75 0.00 3.28 0.00; unit μB/cell.